Entry 1:
Entry from the Alexandria database: an optimized crystal structure of CePt8Pb3 (PBE).

Results
The calculation puts the formation energy from the elements at -8.78 kcal/mol of atoms. The value obtained for the density of states at the Fermi level is 9.80 states/eV/cell. As for the total energy: -5.829 eV per atom. The calculated volume is 236 Å³ per cell.

a b c (Å): 5.5091 5.5091 8.9806
angles (deg): 90.00 90.00 120.00
Space group P3m1 (No. 156)
Asymmetric unit:
Ce  0.0000  0.0000  0.0000 (multiplicity 1)
Pt  0.1657  0.3313  0.6848 (multiplicity 3)
Pt  0.3333  0.6667  0.4248 (multiplicity 1)
Pt  0.3333  0.6667  0.9290 (multiplicity 1)
Pt  0.5017  0.0033  0.1722 (multiplicity 3)
Pb  0.0000  0.0000  0.3863 (multiplicity 1)
Pb  0.6667  0.3333  0.4768 (multiplicity 1)
Pb  0.6667  0.3333  0.8511 (multiplicity 1)


Entry 2:
Entry from the Alexandria database: an optimized crystal structure of Ce5Pt2Pb2 (PBE).

Results
The calculation puts the formation energy from the elements at -14.49 kcal/mol of atoms. The value obtained for the density of states at the Fermi level is 113.61 states/eV/cell. As for the total energy: -6.092 eV per atom. The calculated volume is 1024 Å³ per cell.

a b c (Å): 15.8711 8.3956 7.6821
angles (deg): 90.00 90.00 90.00
Space group Cmce (No. 64)
Asymmetric unit:
Ce  0.0000  0.0000  0.0000 (multiplicity 4)
Ce  0.1205  0.1764  0.3415 (multiplicity 16)
Pt  0.0000  0.1218  0.6407 (multiplicity 8)
Pb  0.2132  0.0000  0.0000 (multiplicity 8)


Entry 3:
Entry from the Alexandria database: an optimized crystal structure of Ce5PtPb2 (PBE).

Results
The calculation puts the formation energy from the elements at -1.29 kcal/mol of atoms. The value obtained for the density of states at the Fermi level is 108.53 states/eV/cell. As for the total energy: -5.447 eV per atom. The calculated volume is 1181 Å³ per cell.

a b c (Å): 5.5116 17.3075 12.3802
angles (deg): 90.00 90.00 90.00
Space group Cmcm (No. 63)
Asymmetric unit:
Ce  0.0000  0.0504  0.0905 (multiplicity 8)
Ce  0.0000  0.2761  0.0549 (multiplicity 8)
Ce  0.0000  0.3108  0.7500 (multiplicity 4)
Pt  0.0000  0.1721  0.2500 (multiplicity 4)
Pb  0.0000  0.1347  0.6299 (multiplicity 8)


Entry 4:
Entry from the Alexandria database: an optimized crystal structure of Ce8PtPb2 (PBE).

Results
The calculation puts the formation energy from the elements at -7.40 kcal/mol of atoms. The value obtained for the density of states at the Fermi level is 63.40 states/eV/cell. As for the total energy: -5.860 eV per atom. The calculated volume is 587 Å³ per cell.

a b c (Å): 15.9873 5.5781 7.0369
angles (deg): 90.00 110.67 90.00
Space group C2/m (No. 12)
Asymmetric unit:
Ce  0.0106  0.0000  0.2518 (multiplicity 4)
Ce  0.1070  0.5000  0.4333 (multiplicity 4)
Ce  0.1421  0.5000  0.8526 (multiplicity 4)
Ce  0.1670  0.0000  0.1673 (multiplicity 4)
Pt  0.0000  0.5000  0.0000 (multiplicity 2)
Pb  0.1986  0.0000  0.6798 (multiplicity 4)


Entry 5:
Entry from the Alexandria database: an optimized crystal structure of Ce4PtPb (PBE).

Results
The calculation puts the formation energy from the elements at -10.33 kcal/mol of atoms. The value obtained for the density of states at the Fermi level is 66.27 states/eV/cell. As for the total energy: -6.029 eV per atom. The calculated volume is 643 Å³ per cell.

a b c (Å): 8.2036 14.3162 5.8906
angles (deg): 90.00 111.73 90.00
Space group C2/c (No. 15)
Asymmetric unit:
Ce  0.0834  0.1906  0.0883 (multiplicity 8)
Ce  0.1962  0.4178  0.3448 (multiplicity 8)
Pt  0.0000  0.0163  0.7500 (multiplicity 4)
Pb  0.0000  0.3775  0.7500 (multiplicity 4)


Entry 6:
Entry from the Alexandria database: an optimized crystal structure of Ce3PtPb2 (PBE).

Results
The calculation puts the formation energy from the elements at -10.86 kcal/mol of atoms. The value obtained for the density of states at the Fermi level is 65.75 states/eV/cell. As for the total energy: -5.681 eV per atom. The calculated volume is 729 Å³ per cell.

a b c (Å): 15.3553 6.3674 7.6995
angles (deg): 90.00 104.52 90.00
Space group C2/c (No. 15)
Asymmetric unit:
Ce  0.0000  0.0007  0.2500 (multiplicity 4)
Ce  0.1391  0.4994  0.5696 (multiplicity 8)
Pt  0.0000  0.4994  0.7500 (multiplicity 4)
Pb  0.1815  0.0006  0.0906 (multiplicity 8)


Entry 7:
Entry from the Alexandria database: an optimized crystal structure of Ce7Pt2Pb (PBE).

Results
The calculation puts the formation energy from the elements at -5.36 kcal/mol of atoms. The value obtained for the density of states at the Fermi level is 69.45 states/eV/cell. As for the total energy: -5.965 eV per atom. The calculated volume is 658 Å³ per cell.

a b c (Å): 9.3345 13.1916 5.3433
angles (deg): 90.00 90.00 90.00
Space group Cmmm (No. 65)
Asymmetric unit:
Ce  0.0000  0.0000  0.0000 (multiplicity 2)
Ce  0.0000  0.2270  0.5000 (multiplicity 4)
Ce  0.1914  0.3948  0.0000 (multiplicity 8)
Pt  0.0000  0.2151  0.0000 (multiplicity 4)
Pb  0.0000  0.5000  0.5000 (multiplicity 2)


Entry 8:
Entry from the Alexandria database: an optimized crystal structure of TbCePtPb (PBE).

Results
The calculation puts the formation energy from the elements at -14.27 kcal/mol of atoms. The value obtained for the density of states at the Fermi level is 33.27 states/eV/cell. As for the total energy: -5.697 eV per atom. The calculated volume is 415 Å³ per cell.

a b c (Å): 7.4568 7.4568 7.4568
angles (deg): 90.00 90.00 90.00
Space group F-43m (No. 216)
Asymmetric unit:
Tb  0.0000  0.0000  0.0000 (multiplicity 4)
Ce  0.0000  0.0000  0.5000 (multiplicity 4)
Pt  0.2500  0.2500  0.2500 (multiplicity 4)
Pb  0.2500  0.2500  0.7500 (multiplicity 4)


Among the records above, which one has the highest calculated volume? Ce5PtPb2